No. 1
This record from the Alexandria database describes a crystal of PrB2Ir2 relaxed with PBEsol. The functional is SCAN.

Cell: 5.559 5.559 6.096 Å, 105.54 105.54 114.35°
Atoms (fractional coordinates):
Pr 0.750 0.250 0.500
Pr 0.500 0.500 0.000
B 0.071 0.929 0.500
B 0.821 0.179 0.000
B 0.429 0.571 0.500
B 0.179 0.821 0.000
Ir 0.379 0.879 0.759
Ir 0.129 0.129 0.259
Ir 0.871 0.871 0.741
Ir 0.121 0.621 0.241

E_form, eV/atom: -0.871
M_tot, μB per atom: 0.000
Density, g cm⁻³: 12.174



No. 2
This record from the Alexandria database describes a crystal of Ti7B8Ir2Rh4 relaxed with PBEsol. The functional is SCAN.

Cell: 3.167 9.156 9.158 Å, 119.95 90.00 90.00°
Atoms (fractional coordinates):
Rh 0.500 0.647 0.492
Rh 0.500 0.156 0.646
Rh 0.500 0.490 0.843
Rh 0.500 0.354 0.510
B 0.500 0.781 0.935
B 0.500 0.154 0.219
B 0.500 0.065 0.846
B 0.500 0.219 0.065
B 0.500 0.847 0.782
B 0.500 0.935 0.154
B 0.000 0.667 0.334
B 0.000 0.333 0.667
Ir 0.500 0.846 0.354
Ir 0.500 0.507 0.155
Ti 0.000 0.000 0.000
Ti 0.000 0.722 0.084
Ti 0.000 0.362 0.277
Ti 0.000 0.915 0.638
Ti 0.000 0.276 0.914
Ti 0.000 0.638 0.723
Ti 0.000 0.087 0.363

E_form, eV/atom: -0.976
M_tot, μB per atom: 0.000
Density, g cm⁻³: 8.787



no.,E (eV per atom)
1,-40.948
2,-22.353